Record 1
VASP calculation (PBE) on a relaxed CdIrAu2I crystal.

```
5
Lattice="-5.176 0.188 -0.896 0.622 -3.834 -4.397 -0.726 -3.974 3.362" Properties=species:S:1:pos:R:3 pbc="T T T"
Au -2.588 0.094 -0.448
Cd 0.311 -1.917 -2.199
I 0.000 0.000 0.000
Au -0.363 -1.987 1.681
Ir -2.640 -3.810 -0.966
```

ρ: 8.456 g cm⁻³
space-group type: P4/mmm (123)
formation energy from raw total energies: 1.681 eV/atom

Record 2
VASP calculation (PBE) on a relaxed K2CdAuI crystal.

```
5
Lattice="-1.426 6.113 -0.634 -5.407 -0.939 3.112 2.489 1.063 4.645" Properties=species:S:1:pos:R:3 pbc="T T T"
Cd 1.245 0.531 2.323
K -0.713 3.057 -0.317
K -2.704 -0.469 1.556
Au 0.000 0.000 0.000
I -2.172 3.118 3.562
```

ρ: 3.992 g cm⁻³
space-group type: P4/mmm (123)
formation energy from raw total energies: -0.568 eV/atom

Record 3
VASP calculation (PBE) on a relaxed CdAuIN2 crystal.

```
5
Lattice="-2.694 -1.275 -3.087 3.007 -2.652 -1.529 -2.328 -5.002 4.098" Properties=species:S:1:pos:R:3 pbc="T T T"
N 1.503 -1.326 -0.764
Au -1.008 -4.465 -0.258
I -1.164 -2.501 2.049
N -1.347 -0.638 -1.543
Cd 0.000 0.000 0.000
```

ρ: 6.093 g cm⁻³
space-group type: P4/mmm (123)
formation energy from raw total energies: 1.655 eV/atom

Record 4
VASP calculation (PBE) on a relaxed CdAuIN2 crystal.

```
5
Lattice="4.147 0.000 0.000 0.000 4.147 0.000 0.000 0.000 7.834" Properties=species:S:1:pos:R:3 pbc="T T T"
Cd 2.074 2.074 3.917
Au 0.000 0.000 0.000
I 0.000 0.000 3.917
N 2.074 0.000 0.000
N 0.000 2.074 0.000
```

ρ: 5.722 g cm⁻³
space-group type: P4/mmm (123)
formation energy from raw total energies: 1.462 eV/atom

Record 5
VASP calculation (PBE) on a relaxed CdAuIO2 crystal.

```
5
Lattice="4.101 0.000 0.000 0.000 4.101 0.000 0.000 0.000 7.081" Properties=species:S:1:pos:R:3 pbc="T T T"
O 2.050 0.000 0.000
Au 0.000 0.000 0.000
Cd 2.050 2.050 3.541
O 0.000 2.050 0.000
I 0.000 0.000 3.541
```

ρ: 6.529 g cm⁻³
space-group type: P4/mmm (123)
formation energy from raw total energies: 0.289 eV/atom

Record 6
VASP calculation (PBE) on a relaxed CdAuIO2 crystal.

```
5
Lattice="4.119 0.000 0.000 0.000 4.119 0.000 0.000 0.000 7.343" Properties=species:S:1:pos:R:3 pbc="T T T"
O 2.059 0.000 0.000
Au 2.059 2.059 3.672
Cd 0.000 0.000 0.000
O 0.000 2.059 0.000
I 0.000 0.000 3.672
```

ρ: 6.242 g cm⁻³
space-group type: P4/mmm (123)
formation energy from raw total energies: 0.256 eV/atom

Record 7
VASP calculation (PBE) on a relaxed RbCdAu2I crystal.

```
5
Lattice="-2.438 4.839 -1.607 1.509 -1.368 -6.406 -4.939 -2.684 -0.590" Properties=species:S:1:pos:R:3 pbc="T T T"
Cd -2.934 0.393 -4.302
Au -1.219 2.419 -0.804
I 0.000 0.000 0.000
Au -2.469 -1.342 -0.295
Rb 0.754 -0.684 -3.203
```

ρ: 5.558 g cm⁻³
space-group type: P4/mmm (123)
formation energy from raw total energies: 0.185 eV/atom

Record 8
VASP calculation (PBE) on a relaxed CdRh2AuI crystal.

```
5
Lattice="-4.956 0.211 0.962 -1.052 -1.904 -5.003 0.142 -4.730 1.771" Properties=species:S:1:pos:R:3 pbc="T T T"
Au -2.933 -3.212 -1.135
Cd 0.000 0.000 0.000
I -0.526 -0.952 -2.501
Rh 0.071 -2.365 0.885
Rh -2.478 0.106 0.481
```

ρ: 7.656 g cm⁻³
space-group type: P4/mmm (123)
formation energy from raw total energies: 1.486 eV/atom

Record 9
VASP calculation (PBE) on a relaxed CdTeAuI2 crystal.

```
5
Lattice="5.564 0.000 0.000 0.000 5.564 0.000 0.000 0.000 5.717" Properties=species:S:1:pos:R:3 pbc="T T T"
I 0.000 2.782 0.000
Te 0.000 0.000 2.858
I 2.782 0.000 0.000
Cd 2.782 2.782 2.858
Au 0.000 0.000 0.000
```

ρ: 6.481 g cm⁻³
space-group type: P4/mmm (123)
formation energy from raw total energies: 0.246 eV/atom

Record 10
VASP calculation (PBE) on a relaxed Tl2CdAuI crystal.

```
5
Lattice="-2.320 2.957 4.325 -3.004 -4.626 1.552 4.019 -1.535 3.205" Properties=species:S:1:pos:R:3 pbc="T T T"
Tl -1.502 -2.313 0.776
I -0.652 -1.602 4.541
Cd 2.010 -0.767 1.602
Au 0.000 0.000 0.000
Tl -1.160 1.479 2.163
```

ρ: 7.966 g cm⁻³
space-group type: P4/mmm (123)
formation energy from raw total energies: -0.208 eV/atom

Record 11
VASP calculation (PBE) on a relaxed TlCd2AuI crystal.

```
5
Lattice="-1.578 -4.476 3.269 4.618 0.244 2.562 -2.320 3.620 3.837" Properties=species:S:1:pos:R:3 pbc="T T T"
Cd -1.160 1.810 1.918
Au 2.309 0.122 1.281
Tl 0.000 0.000 0.000
Cd -0.789 -2.238 1.634
I 0.360 -0.306 4.834
```

ρ: 7.123 g cm⁻³
space-group type: P4/mmm (123)
formation energy from raw total energies: 0.243 eV/atom

Record 12
VASP calculation (PBE) on a relaxed TlCd2AuI crystal.

```
5
Lattice="5.380 0.000 0.000 0.000 5.380 0.000 0.000 0.000 5.847" Properties=species:S:1:pos:R:3 pbc="T T T"
Cd 0.000 2.690 0.000
Au 0.000 0.000 0.000
I 2.690 2.690 2.923
Cd 2.690 0.000 0.000
Tl 0.000 0.000 2.923
```

ρ: 7.388 g cm⁻³
space-group type: P4/mmm (123)
formation energy from raw total energies: -0.168 eV/atom

Calculated total energy values (in hartree per atom) by entry order: -0.0696 -0.0792 -0.1038 -0.1109 -0.1045 -0.1057 -0.0666 -0.0957 -0.0677 -0.0846 -0.0574 -0.0725.